# 1
PBE-GGA Sc2Zn, optimized geometry; density of states at the Fermi level = 1.260 states/eV/atom; formation energy from the elements = -0.064 eV/atom
1.0
3.2560 0.0000 0.0000
0.0000 3.2560 0.0000
0.0000 0.0000 24.5983
Sc Zn
8 4
Direct
0.0000 0.2500 0.3060
0.0000 0.2500 0.4440
0.0000 0.7500 0.5560
0.0000 0.7500 0.6940
0.5000 0.2500 0.0560
0.5000 0.2500 0.1940
0.5000 0.7500 0.8060
0.5000 0.7500 0.9440
0.0000 0.2500 0.8750
0.0000 0.7500 0.1250
0.5000 0.2500 0.6250
0.5000 0.7500 0.3750

# 2
PBE-GGA YRu3, optimized geometry; density of states at the Fermi level = 1.266 states/eV/atom; formation energy from the elements = 0.191 eV/atom
1.0
2.9522 0.0000 0.0000
0.0000 4.6272 0.0000
0.0000 0.0000 9.8647
Y Ru
2 6
Direct
0.0000 0.0000 0.0000
0.5000 0.5000 0.5000
0.0000 0.0000 0.5000
0.0000 0.5000 0.2225
0.0000 0.5000 0.7775
0.5000 0.0000 0.2775
0.5000 0.0000 0.7225
0.5000 0.5000 0.0000

# 3
PBE-GGA AlV4H, optimized geometry; density of states at the Fermi level = 1.067 states/eV/atom; relative energy among the computed polymorphs = 16 meV/atom
1.0
3.7924 -2.1767 0.0000
3.7924 2.1767 0.0000
-2.5162 0.0000 8.7056
Al V H
2 8 2
Direct
0.0000 0.5000 0.0000
0.5000 0.0000 0.5000
0.0784 0.6155 0.3117
0.2001 0.7042 0.6063
0.2958 0.7999 0.8937
0.3845 0.9216 0.1883
0.6155 0.0784 0.8117
0.7042 0.2001 0.1063
0.7999 0.2958 0.3937
0.9216 0.3845 0.6883
0.4688 0.5312 0.2500
0.5312 0.4688 0.7500

# 4
PBE-GGA CsRb3Hg6, optimized geometry; density of states at the Fermi level = 0.409 states/eV/atom; formation energy from the elements = -0.218 eV/atom
1.0
7.7640 4.4826 4.3192
-7.7640 4.4826 4.3192
0.0000 -8.9651 4.3192
Cs Rb Hg
2 6 12
Direct
0.0000 0.0000 0.0000
0.5000 0.5000 0.5000
0.1654 0.7500 0.3346
0.2500 0.6654 0.8346
0.3346 0.1654 0.7500
0.6654 0.8346 0.2500
0.7500 0.3346 0.1654
0.8346 0.2500 0.6654
0.0516 0.0902 0.4052
0.0902 0.4052 0.0516
0.0948 0.4098 0.4484
0.4052 0.0516 0.0902
0.4098 0.4484 0.0948
0.4484 0.0948 0.4098
0.5516 0.9052 0.5902
0.5902 0.5516 0.9052
0.5948 0.9484 0.9098
0.9052 0.5902 0.5516
0.9098 0.5948 0.9484
0.9484 0.9098 0.5948

# 5
PBE-GGA MnVTc, optimized geometry; density of states at the Fermi level = 1.020 states/eV/atom; formation energy from the elements = -0.115 eV/atom; relative energy among the computed polymorphs = 57 meV/atom
1.0
9.4110 0.0000 0.0000
0.0000 2.9886 0.0000
-1.9209 0.0000 5.5940
Mn V Tc
4 4 4
Direct
0.1708 0.0000 0.0920
0.3292 0.5000 0.9080
0.6708 0.5000 0.0920
0.8292 0.0000 0.9080
0.1679 0.0000 0.5871
0.3321 0.5000 0.4129
0.6679 0.5000 0.5871
0.8321 0.0000 0.4129
0.0022 0.5000 0.7523
0.4978 0.0000 0.2477
0.5022 0.0000 0.7523
0.9978 0.5000 0.2477

# 6
PBE-GGA TbEr2Rh2, optimized geometry; density of states at the Fermi level = 0.551 states/eV/atom; formation energy from the elements = -0.644 eV/atom; relative energy among the computed polymorphs = 100 meV/atom
1.0
1.9530 -8.3920 0.0000
1.9530 8.3920 0.0000
0.0000 0.0000 7.2669
Tb Er Rh
2 4 4
Direct
0.1231 0.8769 0.5000
0.8769 0.1231 0.0000
0.3125 0.6875 0.3863
0.4693 0.5307 0.6681
0.5307 0.4693 0.1681
0.6875 0.3125 0.8863
0.0533 0.9467 0.8690
0.3040 0.6960 0.7829
0.6960 0.3040 0.2829
0.9467 0.0533 0.3690

# 7
PBE-GGA Sn2SbPb8, optimized geometry; density of states at the Fermi level = 0.500 states/eV/atom; uncorrected formation energy = 0.1317 eV/atom; relative energy among the computed polymorphs = 95 meV/atom
1.0
8.2622 -4.3540 0.0000
8.2622 4.3540 0.0000
-1.5311 0.0000 5.1506
Sn Sb Pb
2 1 8
Direct
0.2440 0.2440 0.2375
0.7560 0.7560 0.7625
0.5000 0.5000 0.5000
0.0623 0.0623 0.2846
0.0967 0.6413 0.2138
0.3587 0.9033 0.7862
0.3631 0.3631 0.7966
0.6369 0.6369 0.2034
0.6413 0.0967 0.2138
0.9033 0.3587 0.7862
0.9377 0.9377 0.7154

# 8
PBE-GGA YFeCoSi2, optimized geometry; density of states at the Fermi level = 0.483 states/eV/atom; uncorrected formation energy = -0.7704 eV/atom
1.0
3.9267 0.0000 0.0000
0.0000 3.9267 0.0000
0.0000 0.0000 9.6078
Y Fe Co Si
2 2 2 4
Direct
0.0000 0.0000 0.0000
0.5000 0.5000 0.5000
0.0000 0.5000 0.2500
0.5000 0.0000 0.7500
0.0000 0.5000 0.7500
0.5000 0.0000 0.2500
0.0000 0.0000 0.3680
0.0000 0.0000 0.6320
0.5000 0.5000 0.1320
0.5000 0.5000 0.8680

# 9
PBE-GGA BaAsIr2, optimized geometry; density of states at the Fermi level = 0.960 states/eV/atom; formation energy from the elements = 0.680 eV/atom
1.0
6.2971 0.0000 0.0000
0.0000 7.8608 0.0000
0.0000 0.0000 3.3154
Ba As Ir
2 2 4
Direct
0.0000 0.0000 0.0000
0.5000 0.5000 0.0000
0.0000 0.5000 0.0000
0.5000 0.0000 0.0000
0.2500 0.2500 0.5000
0.2500 0.7500 0.5000
0.7500 0.2500 0.5000
0.7500 0.7500 0.5000

# 10
PBE-GGA SnSbP, optimized geometry; density of states at the Fermi level = 0.148 states/eV/atom; uncorrected formation energy = 0.0788 eV/atom; relative energy among the computed polymorphs = 22 meV/atom
1.0
11.9094 0.0000 0.0000
0.0000 4.2985 0.0000
-3.5312 0.0000 6.9836
Sn Sb P
4 4 4
Direct
0.0853 0.0000 0.3902
0.4147 0.5000 0.6098
0.5853 0.5000 0.3902
0.9147 0.0000 0.6098
0.1567 0.5000 0.9118
0.3433 0.0000 0.0882
0.6567 0.0000 0.9118
0.8433 0.5000 0.0882
0.1914 0.5000 0.6140
0.3086 0.0000 0.3860
0.6914 0.0000 0.6140
0.8086 0.5000 0.3860

# 11
PBE-GGA LiAc2Mg3, optimized geometry; density of states at the Fermi level = 1.043 states/eV/atom; formation energy from the elements = -0.071 eV/atom
1.0
3.1851 1.8389 5.1355
-3.1851 1.8389 5.1355
0.0000 -3.6779 5.1355
Li Ac Mg
1 2 3
Direct
0.0000 0.0000 0.0000
0.3769 0.3769 0.3769
0.6231 0.6231 0.6231
0.0000 0.0000 0.5000
0.0000 0.5000 0.0000
0.5000 0.0000 0.0000

# 12
PBE-GGA Rb4Nd3ScSe8, optimized geometry; density of states at the Fermi level = 0.000 states/eV/atom; uncorrected formation energy = -1.6826 eV/atom
1.0
4.3003 2.4828 8.0060
-4.3003 2.4828 8.0060
0.0000 -4.9655 8.0060
Rb Nd Sc Se
4 3 1 8
Direct
0.0000 0.0000 0.0000
0.0000 0.5000 0.5000
0.5000 0.0000 0.5000
0.5000 0.5000 0.0000
0.0000 0.0000 0.5000
0.0000 0.5000 0.0000
0.5000 0.0000 0.0000
0.5000 0.5000 0.5000
0.2346 0.2346 0.2346
0.2490 0.7229 0.7229
0.2771 0.2771 0.7510
0.2771 0.7510 0.2771
0.7229 0.2490 0.7229
0.7229 0.7229 0.2490
0.7510 0.2771 0.2771
0.7654 0.7654 0.7654

# 13
PBE-GGA Mn3Br, optimized geometry; density of states at the Fermi level = 0.635 states/eV/atom; uncorrected formation energy = 0.7344 eV/atom; relative energy among the computed polymorphs = 400 meV/atom
1.0
3.9445 0.0000 0.0000
0.0000 3.9445 0.0000
0.0000 0.0000 8.7676
Mn Br
6 2
Direct
0.0000 0.0000 0.0000
0.0000 0.5000 0.2500
0.0000 0.5000 0.7500
0.5000 0.0000 0.2500
0.5000 0.0000 0.7500
0.5000 0.5000 0.5000
0.0000 0.0000 0.5000
0.5000 0.5000 0.0000